No. 1
A geometry-optimized Th2Co12NiP3 structure, computed with PBE.

Structure (POSCAR):
```
Th2Co12NiP3
1.0
4.163 2.404 3.969
-4.163 2.404 3.969
0.000 -4.807 3.969
Th Co Ni P
2 12 1 3
direct
0.149 0.149 0.149
0.851 0.851 0.851
0.123 0.123 0.602
0.123 0.602 0.123
0.190 0.680 0.680
0.320 0.320 0.810
0.320 0.810 0.320
0.398 0.877 0.877
0.602 0.123 0.123
0.680 0.190 0.680
0.680 0.680 0.190
0.810 0.320 0.320
0.877 0.398 0.877
0.877 0.877 0.398
0.500 0.500 0.500
0.000 0.500 0.500
0.500 0.000 0.500
0.500 0.500 0.000
```

=====

No. 2
A geometry-optimized TlCoNiP2 structure, computed with PBE.

Structure (POSCAR):
```
TlCoNiP2
1.0
4.160 0.000 0.000
0.000 4.160 0.000
0.000 0.000 5.446
Tl Co Ni P
1 1 1 2
direct
0.000 0.000 0.000
0.000 0.000 0.500
0.500 0.500 0.000
0.000 0.500 0.500
0.500 0.000 0.500
```

=====

No. 3
A geometry-optimized Tm2CoNi4P3 structure, computed with PBE.

Structure (POSCAR):
```
Tm2CoNi4P3
1.0
3.845 0.000 0.000
0.000 3.845 0.000
0.000 0.000 9.433
Tm Co Ni P
2 1 4 3
direct
0.000 0.500 0.247
0.500 0.000 0.753
0.000 0.000 0.500
0.000 0.000 0.000
0.000 0.500 0.633
0.500 0.000 0.367
0.500 0.500 0.000
0.000 0.500 0.867
0.500 0.000 0.133
0.500 0.500 0.500
```

=====

No. 4
A geometry-optimized Tm2Co3NiP4 structure, computed with PBE.

Structure (POSCAR):
```
Tm2Co3NiP4
1.0
3.897 0.000 0.000
0.000 3.897 0.000
0.000 0.000 9.052
Tm Co Ni P
2 3 1 4
direct
0.000 0.500 0.244
0.500 0.000 0.756
0.000 0.500 0.886
0.500 0.000 0.114
0.500 0.500 0.500
0.000 0.000 0.500
0.000 0.000 0.000
0.000 0.500 0.639
0.500 0.000 0.361
0.500 0.500 0.000
```

=====

No. 5
A geometry-optimized TmCoNiP2 structure, computed with PBE.

Structure (POSCAR):
```
TmCoNiP2
1.0
3.833 0.000 0.000
0.000 3.833 0.000
0.000 0.000 9.308
Tm Co Ni P
2 2 2 4
direct
0.000 0.000 0.000
0.500 0.500 0.500
0.000 0.500 0.250
0.500 0.000 0.750
0.000 0.500 0.750
0.500 0.000 0.250
0.000 0.000 0.377
0.000 0.000 0.623
0.500 0.500 0.123
0.500 0.500 0.877
```

=====

No. 6
A geometry-optimized U2Co4NiP3 structure, computed with PBE.

Structure (POSCAR):
```
U2Co4NiP3
1.0
3.698 0.000 0.000
0.000 3.698 0.000
0.000 0.000 9.955
U Co Ni P
2 4 1 3
direct
0.000 0.500 0.245
0.500 0.000 0.755
0.000 0.000 0.500
0.000 0.500 0.844
0.500 0.000 0.156
0.500 0.500 0.500
0.500 0.500 0.000
0.000 0.000 0.000
0.000 0.500 0.624
0.500 0.000 0.376
```

=====

No. 7
A geometry-optimized U2Co3NiP4 structure, computed with PBE.

Structure (POSCAR):
```
U2Co3NiP4
1.0
3.951 0.000 0.000
0.000 3.951 0.000
0.000 0.000 8.930
U Co Ni P
2 3 1 4
direct
0.000 0.500 0.246
0.500 0.000 0.754
0.000 0.500 0.887
0.500 0.000 0.113
0.500 0.500 0.500
0.000 0.000 0.500
0.000 0.000 0.000
0.000 0.500 0.635
0.500 0.000 0.365
0.500 0.500 0.000
```

=====

No. 8
A geometry-optimized UCoNiP2 structure, computed with PBE.

Structure (POSCAR):
```
UCoNiP2
1.0
3.777 0.000 0.000
0.000 3.777 0.000
0.000 0.000 9.723
U Co Ni P
2 2 2 4
direct
0.000 0.000 0.000
0.500 0.500 0.500
0.000 0.500 0.750
0.500 0.000 0.250
0.000 0.500 0.250
0.500 0.000 0.750
0.000 0.000 0.379
0.000 0.000 0.621
0.500 0.500 0.121
0.500 0.500 0.879
```

=====

no.,ΔE_f (kJ per mole of atoms)
1,6.0
2,63.1
3,-81.2
4,-96.1
5,-95.3
6,-67.9
7,-78.4
8,-75.5